DFT (GGA-PBEsol) results for crystalline YIr2Pt at its relaxed geometry.

## Properties
Energy of formation from the pure elements in eV/f.u.: -0.6
Relative energy among the computed polymorphs in kJ/mol of formula units: 58.2
Space-group type: No. 123
DOS at the Fermi energy in states/eV per atom: 1.303

POSCAR file:
```
YIr2Pt
1.0
3.381 0.000 0.000
0.000 3.381 0.000
0.000 0.000 5.961
Y Ir Pt
1 2 1
Direct
0.000 0.000 0.000
0.500 0.500 0.282
0.500 0.500 0.718
0.000 0.000 0.500
```